Na3RuAu | GGA-PBE | optimized geometry

Cell and atoms, written as POSCAR:
```
Na3RuAu
1.0
-1.099 -5.228 -0.849
4.720 -0.573 -2.580
2.403 -1.264 4.678
Ru Au Na
1 1 3
Direct
0.500 0.500 0.500 Ru
0.000 0.000 0.000 Au
0.000 0.500 0.000 Na
0.000 0.000 0.500 Na
0.500 0.000 0.000 Na
```

total moment	2.10	μB per cell
energy of formation from the pure elements	0.9133	eV per atom
energy above the most stable polymorph in this dataset	0.000	eV per atom
SG	Pm-3m (221)


NaRuAu3 | GGA-PBE | optimized geometry

Cell and atoms, written as POSCAR:
```
NaRuAu3
1.0
-4.172 -1.303 -2.627
-1.947 -2.185 4.176
-2.193 4.420 1.290
Ru Au Na
1 3 1
Direct
0.000 0.000 0.000 Ru
0.000 0.500 0.000 Au
0.000 0.000 0.500 Au
0.500 0.000 0.000 Au
0.500 0.500 0.500 Na
```

total moment	2.26	μB per cell
energy of formation from the pure elements	0.5764	eV per atom
energy above the most stable polymorph in this dataset	0.000	eV per atom
SG	Pm-3m (221)


NaRu3Au | GGA-PBE | optimized geometry

Cell and atoms, written as POSCAR:
```
NaRu3Au
1.0
4.532 0.000 0.000
0.000 4.532 0.000
0.000 0.000 4.532
Ru Au Na
3 1 1
Direct
0.000 0.500 0.000 Ru
0.000 0.000 0.500 Ru
0.500 0.000 0.000 Ru
0.500 0.500 0.500 Au
0.000 0.000 0.000 Na
```

total moment	5.92	μB per cell
energy of formation from the pure elements	2.2779	eV per atom
energy above the most stable polymorph in this dataset	0.351	eV per atom
SG	Pm-3m (221)


> The highest energy of formation from the pure elements belongs to which entry?

NaRu3Au


> Which of these has the lowest energy of formation from the pure elements?

NaRuAu3


> The highest energy of formation from the pure elements belongs to which entry?

NaRu3Au


> Which formula does entry 3 have?

NaRu3Au